ErLu2S3: optimized geometry, PBE.

extended XYZ file:
```
6
Lattice="-0.308 3.074 2.243 -3.076 -2.136 -0.744 1.858 -5.289 7.505" Properties=species:S:1:pos:R:3 pbc="T T T"
Lu 0.318 -3.071 7.502
Lu -1.844 -1.280 1.501
S -0.906 -3.950 5.290
S -0.620 -0.401 3.714
S 0.000 0.000 0.000
Er 0.929 -2.645 3.752
```

Output
DFT total energy	-6.23	eV per atom
calculated density	8.6	g/cm3